A relaxed structure of NaBeAg3. Source: Alexandria via LeMat-Bulk, functional GGA-PBE.

As for the calculated formation energy: 1232 meV/atom. The distance to the lowest polymorph of the same formula comes out at 1055 meV/atom. Its space group is Pm-3m.

a = 4.8792 Å, b = 4.8792 Å, c = 4.8792 Å
α = 90.00°, β = 90.00°, γ = 90.00°
Positions (direct):
Na  0.0000  0.0000  0.0000
Ag  0.0000  0.5000  0.0000
Ag  0.0000  0.0000  0.5000
Ag  0.5000  0.0000  0.0000
Be  0.5000  0.5000  0.5000